# 1
Computed, not measured: crystalline Pm6PrSc at its relaxed geometry at the PBE-GGA level of DFT.

Values from the calculation:
energy above the lowest structure with this stoichiometry: 0 meV/atom
ΔE_f: 0.03 eV/atom

```
data_Pm6PrSc
_chemical_formula_sum 'Pm6 Pr1 Sc1'
_cell_length_a 5.110
_cell_length_b 5.110
_cell_length_c 10.192
_cell_angle_alpha 90.00
_cell_angle_beta 90.00
_cell_angle_gamma 90.00
_space_group_name_H-M_alt 'P 1'
_space_group_IT_number 1
_space_group_name_Hall 'P 1'
loop_
_atom_site_label
_atom_site_type_symbol
_atom_site_fract_x
_atom_site_fract_y
_atom_site_fract_z
_atom_site_occupancy
Pm1 Pm 0.500 0.500 0.000 1
Pm2 Pm 0.500 0.500 0.500 1
Pm3 Pm 0.500 0.000 0.258 1
Pm4 Pm 0.500 0.000 0.742 1
Pm5 Pm 0.000 0.500 0.258 1
Pm6 Pm 0.000 0.500 0.742 1
Pr1 Pr 0.000 0.000 0.000 1
Sc1 Sc 0.000 0.000 0.500 1
```

---

# 2
Computed, not measured: crystalline NpCu2NiS4 at its relaxed geometry at the PBE-GGA level of DFT.

Values from the calculation:
total energy: -5.98 eV per atom

```
data_NpCu2NiS4
_chemical_formula_sum 'Np1 Cu2 Ni1 S4'
_cell_length_a 5.969
_cell_length_b 5.969
_cell_length_c 5.552
_cell_angle_alpha 115.56
_cell_angle_beta 115.56
_cell_angle_gamma 101.39
_space_group_name_H-M_alt 'P 1'
_space_group_IT_number 1
_space_group_name_Hall 'P 1'
loop_
_atom_site_label
_atom_site_type_symbol
_atom_site_fract_x
_atom_site_fract_y
_atom_site_fract_z
_atom_site_occupancy
Np1 Np 0.595 0.595 0.191 1
Cu1 Cu 0.753 0.253 0.506 1
Cu2 Cu 0.253 0.753 0.506 1
Ni1 Ni 0.007 0.007 0.014 1
S1 S 0.606 0.606 0.697 1
S2 S 0.323 0.872 0.195 1
S3 S 0.872 0.323 0.195 1
S4 S 0.091 0.091 0.697 1
```

---

| no. | D(E_F) (states/eV/atom) |
| --- | --- |
| 1 | 1.685 |
| 2 | 1.149 |